Compound: NbOsRh2
Source: Alexandria via LeMat-Bulk
Functional: GGA-PBE
Structure: optimized geometry

Lattice parameters (Å, degrees): 3.822 3.822 9.418 78.29 78.29 90.00
Fractional coordinates of all 8 atoms:
Rh 0.636 0.125 0.250
Rh 0.114 0.625 0.250
Rh 0.375 0.364 0.750
Rh 0.875 0.886 0.750
Nb 0.500 0.500 0.000
Nb 0.250 0.750 0.500
Os 0.000 0.000 0.000
Os 0.750 0.250 0.500

Computed properties:
ΔE to the lowest computed polymorph ... 628 meV/atom
DOS(E_F) ... 1.1552 states/eV/atom

=====

Compound: RbV3Au
Source: Alexandria via LeMat-Bulk
Functional: GGA-PBE
Structure: optimized geometry

Lattice parameters (Å, degrees): 5.186 5.186 5.186 90.00 90.00 90.00
Last column: magnetic moment on the atom in μB.
Fractional coordinates of all 5 atoms:
Au 0.000 0.000 0.000  0.06
Rb 0.500 0.500 0.500  0.06
V 0.000 0.500 0.000  2.61
V 0.000 0.000 0.500  2.61
V 0.500 0.000 0.000  2.61

Computed properties:
ΔE to the lowest computed polymorph ... 0 meV/atom
DOS(E_F) ... 2.0979 states/eV/atom